Record 1
Entry from Alexandria: crystalline Ho2FeGe4 at its relaxed geometry (GGA-PBE).

Formation energy from the elements ... -0.579 eV/atom
Raw total energy ... -5.73 eV/atom
Space-group type ... Amm2, No. 38

a b c (Å): 8.054 8.054 4.132
angles (deg): 90.00 90.00 149.92
Site moments in Bohr magnetons follow the coordinates.
Element x y z (fractional)
Ho: 0.102 0.898 0.500  -0.01
Ho: 0.897 0.103 0.000  0.00
Fe: 0.306 0.694 0.500  0.64
Ge: 0.454 0.546 0.500  -0.01
Ge: 0.564 0.436 0.000  0.00
Ge: 0.740 0.260 0.500  -0.01
Ge: 0.241 0.759 0.000  -0.01

=====

Record 2
Entry from Alexandria: crystalline K2IBr4 at its relaxed geometry (GGA-PBE).

Raw total energy ... -2.41 eV/atom
Space-group type ... I4/mmm, No. 139

a b c (Å): 7.788 7.788 7.026
angles (deg): 123.66 123.66 90.00
Element x y z (fractional)
K: 0.750 0.250 0.500
K: 0.250 0.750 0.500
I: 0.500 0.500 0.000
Br: 0.766 0.234 0.000
Br: 0.234 0.766 0.000
Br: 0.766 0.766 0.000
Br: 0.234 0.234 0.000

=====

Record 3
Entry from Alexandria: crystalline Nd2PH at its relaxed geometry (GGA-PBE).

Raw total energy ... -5.41 eV/atom
Space-group type ... R3m, No. 160

a b c (Å): 3.904 3.904 7.090
angles (deg): 74.02 74.02 60.00
Element x y z (fractional)
Nd: 0.085 0.085 0.746
Nd: 0.253 0.253 0.241
P: 0.668 0.668 0.996
H: 0.494 0.494 0.518

=====

Record 4
Entry from Alexandria: crystalline TaVCo at its relaxed geometry (GGA-PBE).

Formation energy from the elements ... 0.126 eV/atom
Raw total energy ... -9.23 eV/atom
Space-group type ... P3m1, No. 156

a b c (Å): 2.677 4.294 4.294
angles (deg): 120.00 90.00 90.00
Site moments in Bohr magnetons follow the coordinates.
Element x y z (fractional)
V: 0.642 0.333 0.667  0.47
Co: 0.342 0.667 0.333  1.08
Ta: 0.016 0.000 0.000  0.04

=====

Record 5
Entry from Alexandria: crystalline Ba2PPb at its relaxed geometry (GGA-PBE).

Formation energy from the elements ... -0.593 eV/atom
Raw total energy ... -3.83 eV/atom
Space-group type ... R-3m, No. 166

a b c (Å): 9.989 9.989 9.989
angles (deg): 25.92 25.92 25.92
Site moments in Bohr magnetons follow the coordinates.
Element x y z (fractional)
Ba: 0.228 0.228 0.228  0.03
Ba: 0.772 0.772 0.772  0.03
P: 0.500 0.500 0.500  0.05
Pb: 0.000 0.000 0.000  0.15

=====

Record 6
Entry from Alexandria: crystalline YMgAg at its relaxed geometry (GGA-PBE).

Formation energy from the elements ... 0.374 eV/atom
Raw total energy ... -3.26 eV/atom
Space-group type ... F-43m, No. 216

a b c (Å): 4.964 4.964 4.964
angles (deg): 60.00 60.00 60.00
Element x y z (fractional)
Ag: 0.000 0.000 0.000
Mg: 0.500 0.500 0.500
Y: 0.750 0.750 0.750

=====

Record 7
Entry from Alexandria: crystalline TcSn2HAu at its relaxed geometry (GGA-PBE).

Raw total energy ... -3.57 eV/atom
Space-group type ... P4/mmm, No. 123

a b c (Å): 5.262 5.333 5.262
angles (deg): 90.00 90.00 90.00
Site moments in Bohr magnetons follow the coordinates.
Element x y z (fractional)
H: 0.500 0.500 0.500  0.13
Au: 0.000 0.000 0.000  0.07
Sn: 0.000 0.000 0.500  -0.04
Sn: 0.500 0.000 0.000  -0.04
Tc: 0.000 0.500 0.000  3.50

=====

Record 8
Entry from Alexandria: crystalline Sr2P at its relaxed geometry (GGA-PBE).

Formation energy from the elements ... -0.821 eV/atom
Raw total energy ... -3.75 eV/atom
Space-group type ... Fm-3m, No. 225

a b c (Å): 5.163 5.163 5.163
angles (deg): 60.00 60.00 60.00
Element x y z (fractional)
Sr: 0.750 0.750 0.750
Sr: 0.250 0.250 0.250
P: 0.000 0.000 0.000

=====

Record 9
Entry from Alexandria: crystalline Li2NiRu at its relaxed geometry (GGA-PBE).

Formation energy from the elements ... 0.170 eV/atom
Raw total energy ... -4.55 eV/atom
Space-group type ... F-43m, No. 216

a b c (Å): 4.131 4.131 4.131
angles (deg): 60.00 60.00 60.00
Site moments in Bohr magnetons follow the coordinates.
Element x y z (fractional)
Li: 0.000 0.000 0.000  0.00
Li: 0.250 0.250 0.250  -0.04
Ni: 0.500 0.500 0.500  0.85
Ru: 0.750 0.750 0.750  1.39

=====

Record 10
Entry from Alexandria: crystalline BaPrPd2 at its relaxed geometry (GGA-PBE).

Formation energy from the elements ... -0.490 eV/atom
Raw total energy ... -4.76 eV/atom
Space-group type ... R3m, No. 160

a b c (Å): 4.282 4.282 8.109
angles (deg): 74.69 74.69 60.00
Element x y z (fractional)
Ba: 0.497 0.497 0.510
Pr: 0.668 0.668 0.995
Pd: 0.074 0.074 0.779
Pd: 0.261 0.261 0.216

=====

Record 11
Entry from Alexandria: crystalline Sc2BiP2 at its relaxed geometry (GGA-PBE).

Formation energy from the elements ... -0.738 eV/atom
Raw total energy ... -6.21 eV/atom
Space-group type ... P4/mbm, No. 127

a b c (Å): 7.633 7.633 3.470
angles (deg): 90.00 90.00 90.00
Element x y z (fractional)
Sc: 0.148 0.648 0.500
Sc: 0.648 0.852 0.500
Sc: 0.852 0.352 0.500
Sc: 0.352 0.148 0.500
P: 0.355 0.855 0.000
P: 0.855 0.645 0.000
P: 0.645 0.145 0.000
P: 0.145 0.355 0.000
Bi: 0.000 0.000 0.000
Bi: 0.500 0.500 0.000

=====

Record 12
Entry from Alexandria: crystalline Pu3ZrTl4Se8 at its relaxed geometry (GGA-PBE).

Raw total energy ... -6.64 eV/atom
Space-group type ... R-3m, No. 166

a b c (Å): 8.327 9.125 8.327
angles (deg): 117.17 120.00 90.00
Site moments in Bohr magnetons follow the coordinates.
Element x y z (fractional)
Pu: 0.500 0.500 0.000  5.22
Pu: 0.500 0.500 0.500  5.22
Pu: 0.000 0.500 0.500  5.22
Zr: 0.000 0.500 0.000  0.25
Tl: 0.500 0.000 0.000  0.01
Tl: 0.500 0.000 0.500  0.00
Tl: 0.000 0.000 0.000  0.00
Tl: 0.000 0.000 0.500  0.00
Se: 0.226 0.702 0.977  -0.06
Se: 0.226 0.702 0.451  -0.06
Se: 0.265 0.294 0.529  -0.10
Se: 0.751 0.702 0.977  -0.06
Se: 0.249 0.298 0.023  -0.06
Se: 0.735 0.706 0.471  -0.10
Se: 0.774 0.298 0.549  -0.06
Se: 0.774 0.298 0.023  -0.06

=====

Record 13
Entry from Alexandria: crystalline AlCdSeBr2 at its relaxed geometry (GGA-PBE).

Raw total energy ... -2.66 eV/atom
Space-group type ... P4/mmm, No. 123

a b c (Å): 5.027 5.027 5.155
angles (deg): 90.00 90.00 90.00
Element x y z (fractional)
Al: 0.000 0.000 0.000
Se: 0.000 0.000 0.500
Br: 0.000 0.500 0.000
Br: 0.500 0.000 0.000
Cd: 0.500 0.500 0.500

=====

Record 14
Entry from Alexandria: crystalline Be2ReHg at its relaxed geometry (GGA-PBE).

Formation energy from the elements ... 0.936 eV/atom
Raw total energy ... -4.11 eV/atom
Space-group type ... F-43m, No. 216

a b c (Å): 4.311 4.311 4.311
angles (deg): 60.00 60.00 60.00
Site moments in Bohr magnetons follow the coordinates.
Element x y z (fractional)
Re: 0.750 0.750 0.750  0.49
Hg: 0.500 0.500 0.500  0.01
Be: 0.000 0.000 0.000  0.00
Be: 0.250 0.250 0.250  -0.01

=====

Record 15
Entry from Alexandria: crystalline Ba3Tl6HgPb2 at its relaxed geometry (GGA-PBE).

Formation energy from the elements ... -0.191 eV/atom
Raw total energy ... -2.50 eV/atom
Space-group type ... P-3m1, No. 164

a b c (Å): 6.647 6.647 11.040
angles (deg): 90.00 90.00 120.00
Element x y z (fractional)
Ba: 0.333 0.667 0.590
Ba: 0.667 0.333 0.410
Ba: 0.000 0.000 0.000
Tl: 0.655 0.827 0.267
Tl: 0.173 0.345 0.267
Tl: 0.173 0.827 0.267
Tl: 0.827 0.655 0.733
Tl: 0.345 0.173 0.733
Tl: 0.827 0.173 0.733
Hg: 0.000 0.000 0.500
Pb: 0.667 0.333 0.004
Pb: 0.333 0.667 0.996

=====

Record 16
Entry from Alexandria: crystalline PmSm12Sc2 at its relaxed geometry (GGA-PBE).

Formation energy from the elements ... 0.111 eV/atom
Raw total energy ... -4.82 eV/atom
Space-group type ... P2/m, No. 10

a b c (Å): 6.096 6.096 30.852
angles (deg): 75.83 104.17 73.05
Element x y z (fractional)
Pm: 0.500 0.000 0.000
Pm: 0.000 0.500 0.000
Sm: 0.652 0.348 0.803
Sm: 0.152 0.848 0.803
Sm: 0.767 0.733 0.868
Sm: 0.383 0.617 0.934
Sm: 0.062 0.938 0.320
Sm: 0.117 0.883 0.066
Sm: 0.715 0.285 0.552
Sm: 0.562 0.438 0.320
Sm: 0.267 0.233 0.868
Sm: 0.733 0.767 0.132
Sm: 0.331 0.169 0.618
Sm: 0.785 0.215 0.448
Sm: 0.938 0.062 0.680
Sm: 0.169 0.331 0.382
Sm: 0.233 0.267 0.132
Sm: 0.669 0.831 0.382
Sm: 0.831 0.669 0.618
Sm: 0.848 0.152 0.197
Sm: 0.215 0.785 0.552
Sm: 0.438 0.562 0.680
Sm: 0.883 0.117 0.934
Sm: 0.348 0.652 0.197
Sm: 0.285 0.715 0.448
Sm: 0.617 0.383 0.066
Sc: 0.455 0.045 0.259
Sc: 0.955 0.545 0.259
Sc: 0.045 0.455 0.741
Sc: 0.545 0.955 0.741

=====

Record 17
Entry from Alexandria: crystalline BaGaSbI2 at its relaxed geometry (GGA-PBE).

Raw total energy ... -3.02 eV/atom
Space-group type ... P4/mmm, No. 123

a b c (Å): 5.880 5.880 5.479
angles (deg): 90.00 90.00 90.00
Site moments in Bohr magnetons follow the coordinates.
Element x y z (fractional)
I: 0.000 0.500 0.000  0.04
I: 0.500 0.000 0.000  0.04
Sb: 0.000 0.000 0.500  0.18
Ba: 0.500 0.500 0.500  0.01
Ga: 0.000 0.000 0.000  0.00

=====

Record 18
Entry from Alexandria: crystalline Er2Zn3Pd at its relaxed geometry (GGA-PBE).

Formation energy from the elements ... -0.536 eV/atom
Raw total energy ... -3.56 eV/atom
Space-group type ... Pmm2, No. 25

a b c (Å): 3.508 4.428 7.673
angles (deg): 90.00 90.00 90.00
Element x y z (fractional)
Er: 0.000 0.500 0.017
Er: 0.000 0.000 0.484
Zn: 0.500 0.000 0.829
Zn: 0.500 0.000 0.158
Zn: 0.500 0.500 0.676
Pd: 0.500 0.500 0.336

=====

Record 19
Entry from Alexandria: crystalline Ca2BeIn at its relaxed geometry (GGA-PBE).

Formation energy from the elements ... 0.208 eV/atom
Raw total energy ... -2.41 eV/atom
Space-group type ... R-3m, No. 166

a b c (Å): 9.441 9.441 9.441
angles (deg): 23.16 23.16 23.16
Element x y z (fractional)
Be: 0.750 0.750 0.750
Ca: 0.010 0.010 0.010
Ca: 0.490 0.490 0.490
In: 0.250 0.250 0.250

=====

Record 20
Entry from Alexandria: crystalline DyPdAu at its relaxed geometry (GGA-PBE).

Formation energy from the elements ... -0.855 eV/atom
Raw total energy ... -5.21 eV/atom
Space-group type ... I4mm, No. 107

a b c (Å): 3.673 3.673 5.213
angles (deg): 110.63 110.63 90.00
Element x y z (fractional)
Au: 0.283 0.283 0.566
Pd: 0.953 0.953 0.907
Dy: 0.614 0.614 0.228